Entry P
GaTe2IF: relaxed, PBE-GGA.

It has space group P4/mmm (No. 123), with a = 5.3666 Å, b = 5.3666 Å, c = 5.5072 Å, α = 90.00°, β = 90.00° and γ = 90.00°. The distinct sites, in fractional coordinates, are Ga at (0.0000, 0.0000, 0.0000), Te at (0.0000, 0.5000, 0.0000), I at (0.0000, 0.0000, 0.5000) and F at (0.5000, 0.5000, 0.5000).

The calculated density comes out at 4.9 g/cm³.


Entry Q
GaTe2IF: relaxed, PBE-GGA.

It has space group P4/mmm (No. 123), with a = 4.7108 Å, b = 4.7108 Å, c = 7.1315 Å, α = 90.00°, β = 90.00° and γ = 90.00°. The distinct sites, in fractional coordinates, are Ga at (0.0000, 0.0000, 0.0000), Te at (0.0000, 0.5000, 0.5000), I at (0.5000, 0.5000, 0.0000) and F at (0.5000, 0.5000, 0.5000).

The calculated density comes out at 4.9 g/cm³.


Most stable structure: entry Q


Entry P
ZrGaI2F: relaxed, PBE-GGA.

It has space group P4/mmm (No. 123), with a = 5.8486 Å, b = 5.8486 Å, c = 3.9811 Å, α = 90.00°, β = 90.00° and γ = 90.00°. The distinct sites, in fractional coordinates, are Zr at (0.0000, 0.0000, 0.0000), Ga at (0.5000, 0.5000, 0.0000), I at (0.0000, 0.5000, 0.5000) and F at (0.5000, 0.5000, 0.5000).

The calculated density comes out at 5.3 g/cm³.


Entry Q
ZrGaI2F: relaxed, PBE-GGA.

It has space group P4/mmm (No. 123), with a = 6.0193 Å, b = 6.0193 Å, c = 4.1109 Å, α = 90.00°, β = 90.00° and γ = 90.00°. The distinct sites, in fractional coordinates, are Zr at (0.0000, 0.0000, 0.0000), Ga at (0.5000, 0.5000, 0.0000), I at (0.0000, 0.5000, 0.5000) and F at (0.0000, 0.0000, 0.5000).

The calculated density comes out at 4.8 g/cm³.


Most stable structure: entry Q